First-principles (GGA-PBE) data for BeNbCr2 after structural relaxation, as listed in Alexandria via LeMat-Bulk.

Summary:
N(E_F) (states/eV per atom): 0.68
Calculated formation energy (meV per atom): 612.9

Unit cell a=6.6497 b=6.6497 c=5.2644 alpha=50.83 beta=50.83 gamma=90.00
With the nearest neighbours (Å) after each atom.
Fractional positions:
Cr 0.5793 0.1250 0.2500  2 Be 2.23, 2 Cr 2.44
Cr 0.1707 0.6250 0.2500  2 Be 2.23, 2 Cr 2.44
Cr 0.3750 0.4207 0.7500  2 Be 2.23, 2 Cr 2.44
Cr 0.8750 0.8293 0.7500  2 Be 2.23, 2 Cr 2.44
Nb 0.0000 0.0000 0.0000  2 Be 2.37, 4 Cr 2.64
Nb 0.7500 0.2500 0.5000  2 Be 2.37, 4 Cr 2.64
Be 0.5000 0.5000 0.0000  4 Cr 2.23, 2 Nb 2.37
Be 0.2500 0.7500 0.5000  4 Cr 2.23, 2 Nb 2.37


First-principles (GGA-PBE) data for Sr3Si2GePt9 after structural relaxation, as listed in Alexandria via LeMat-Bulk.

Summary:
Raw formation energy (eV per atom): -0.625
N(E_F) (states/eV per atom): 0.45

Unit cell a=6.4040 b=6.4040 c=8.9233 alpha=90.00 beta=90.00 gamma=120.00
With the nearest neighbours (Å) after each atom.
Fractional positions:
Sr 0.3333 0.6667 0.6504  9 Pt 3.26-3.63
Sr 0.0000 0.0000 0.0000  12 Pt 3.01-3.20
Sr 0.6667 0.3333 0.3496  9 Pt 3.26-3.63
Si 0.3333 0.6667 0.1763  6 Pt 2.30-2.43
Si 0.6667 0.3333 0.8237  6 Pt 2.30-2.43
Ge 0.0000 0.0000 0.5000  6 Pt 2.50
Pt 0.8549 0.1451 0.7144  1 Si 2.30, 1 Ge 2.50
Pt 0.8549 0.7097 0.7144  1 Si 2.30, 1 Ge 2.50
Pt 0.2903 0.1451 0.7144  1 Si 2.30, 1 Ge 2.50
Pt 0.7097 0.8549 0.2856  1 Si 2.30, 1 Ge 2.50
Pt 0.1451 0.2903 0.2856  1 Si 2.30, 1 Ge 2.50
Pt 0.1451 0.8549 0.2856  1 Si 2.30, 1 Ge 2.50
Pt 0.5000 0.0000 0.0000  2 Si 2.43
Pt 0.0000 0.5000 0.0000  2 Si 2.43
Pt 0.5000 0.5000 0.0000  2 Si 2.43


It is found that the V values, taken in the order of the records, are 104.7 316.9 Å³ per cell.